1.
First-principles (PBE) data for a relaxed RbSc2Mn crystal, as listed in the Alexandria database.

abc: 10.3764 10.3764 10.3764
angles: 90.00 90.00 90.00
Space group Fd-3m (No. 227, origin choice 2)
Asymmetric unit:
Rb (0.1250, 0.1250, 0.1250) x8
Sc (0.0000, 0.0000, 0.5000) x16
Mn (0.1250, 0.1250, 0.6250) x8

- volume (Å³ per cell) = 1117
- offset from the most stable computed form (meV/atom) = 134
- DOS(E_F) (states/eV per cell) = 13.0
- formation enthalpy at 0 K (eV/atom) = 0.69

---

2.
First-principles (PBE) data for a relaxed RbSc2Mn crystal, as listed in the Alexandria database.

abc: 3.3907 3.3907 32.0384
angles: 90.00 90.00 120.00
Space group R-3m (No. 166, hexagonal axes)
Asymmetric unit:
Rb (0.0000, 0.0000, 0.0000) x3
Sc (0.0000, 0.0000, 0.1136) x6
Mn (0.0000, 0.0000, 0.5000) x3

- volume (Å³ per cell) = 319
- offset from the most stable computed form (meV/atom) = 0
- DOS(E_F) (states/eV per cell) = 10.3
- formation enthalpy at 0 K (eV/atom) = 0.56

---

3.
First-principles (PBE) data for a relaxed RbScMn3 crystal, as listed in the Alexandria database.

abc: 5.2792 5.2792 5.2792
angles: 90.00 90.00 90.00
Space group Pm-3m (No. 221)
Asymmetric unit:
Rb (0.0000, 0.0000, 0.0000) x1
Sc (0.5000, 0.5000, 0.5000) x1
Mn (0.0000, 0.5000, 0.5000) x3

- volume (Å³ per cell) = 147
- offset from the most stable computed form (meV/atom) = 0
- DOS(E_F) (states/eV per cell) = 3.8
- formation enthalpy at 0 K (eV/atom) = 1.24

---

Which formula does entry 2 have? RbSc2Mn

---

Which formula does entry 2 have? RbSc2Mn